Entry 1:
Computed, not measured: an optimized crystal structure of SnPbWSe2 at the PBE level of DFT.

Calculated values
Its formation energy (no corrections) is 0.3593 eV per atom.

```
5
Lattice="-1.278 -4.564 -1.028 5.610 -1.577 0.026 -0.299 -0.984 4.740" Properties=species:S:1:pos:R:3 pbc="T T T"
Se -0.149 -0.492 2.370
Pb 2.805 -0.788 0.013
W 0.000 0.000 0.000
Se -0.639 -2.282 -0.514
Sn 2.017 -3.562 1.869
```

Entry 2:
Computed, not measured: an optimized crystal structure of Pr9TlIn2 at the PBE level of DFT.

Calculated values
The formation energy from the elements comes out at -5.866 kcal/mol of atoms.

```
12
Lattice="5.025 0.000 0.000 0.000 5.025 0.000 0.000 0.000 15.084" Properties=species:S:1:pos:R:3 pbc="T T T"
Tl 0.000 0.000 0.000
Pr 0.000 2.513 2.529
In 0.000 0.000 5.029
Pr 2.513 2.513 0.000
Pr 0.000 2.513 7.542
In 0.000 0.000 10.055
Pr 2.513 0.000 12.555
Pr 2.513 2.513 10.049
Pr 0.000 2.513 12.555
Pr 2.513 0.000 7.542
Pr 2.513 0.000 2.529
Pr 2.513 2.513 5.035
```

Entry 3:
Computed, not measured: an optimized crystal structure of ErMg2Ga6 at the PBE level of DFT.

Calculated values
The formation energy from the elements comes out at -6.006 kcal/mol of atoms.

```
9
Lattice="-2.791 0.598 1.657 1.233 -6.313 4.358 2.812 6.884 2.251" Properties=species:S:1:pos:R:3 pbc="T T T"
Mg -1.032 -1.316 5.312
Ga 0.470 4.866 2.322
Ga -0.034 0.491 3.053
Ga 0.784 -3.697 5.944
Mg 2.286 2.485 2.953
Ga 2.234 2.995 5.971
Ga 1.288 0.678 5.213
Ga -0.981 -1.826 2.295
Er 2.812 6.884 2.251
```

Entry 4:
Computed, not measured: an optimized crystal structure of TlGaHg at the PBE level of DFT.

Calculated values
The formation energy from the elements comes out at 0.993 kcal/mol of atoms.

```
6
Lattice="0.443 -3.211 -9.090 -2.991 -4.648 -0.214 -2.783 1.764 0.409" Properties=species:S:1:pos:R:3 pbc="T T T"
Ga -1.943 -1.243 -1.058
Hg -3.451 -3.579 -0.671
Tl -2.637 -3.823 -7.316
Ga -0.732 -1.908 -3.344
Tl -2.381 -0.769 -5.769
Hg -2.224 -4.214 -3.949
```

Entry 5:
Computed, not measured: an optimized crystal structure of VInTc at the PBE level of DFT.

Calculated values
The formation energy from the elements comes out at -0.920 kcal/mol of atoms.

```
3
Lattice="3.200 0.000 0.000 0.000 3.200 0.000 -1.600 -1.600 4.766" Properties=species:S:1:pos:R:3 pbc="T T T"
V 0.000 0.000 2.977
In 1.600 1.600 4.760
Tc 1.600 1.600 1.796
```

Entry 6:
Computed, not measured: an optimized crystal structure of LaThGa2Pt5 at the PBE level of DFT.

Calculated values
The formation energy from the elements comes out at -20.865 kcal/mol of atoms.

```
9
Lattice="4.433 0.000 0.000 0.000 4.433 0.000 0.000 0.000 8.902" Properties=species:S:1:pos:R:3 pbc="T T T"
Ga 2.216 2.216 1.240
Pt 0.000 2.216 2.368
Pt 2.216 0.000 6.534
Ga 2.216 2.216 7.661
Pt 2.216 0.000 2.368
Th 0.000 0.000 0.000
Pt 2.216 2.216 4.451
La 0.000 0.000 4.451
Pt 0.000 2.216 6.534
```

Entry 7:
Computed, not measured: an optimized crystal structure of Pr12Sm6Tl at the PBE level of DFT.

Calculated values
The formation energy from the elements comes out at 1.583 kcal/mol of atoms.

```
19
Lattice="-4.383 4.493 -6.105 -7.556 -1.123 4.279 1.116 7.492 4.393" Properties=species:S:1:pos:R:3 pbc="T T T"
Pr -1.515 2.964 -1.349
Pr -7.011 6.150 -0.601
Sm -5.510 1.572 3.565
Pr -7.310 10.333 2.044
Sm -9.744 4.499 0.595
Pr -4.732 7.803 2.015
Sm -5.879 7.222 5.368
Pr -3.514 0.530 0.523
Sm -4.944 3.640 -2.801
Pr -9.309 7.898 3.916
Pr -3.606 5.788 -0.515
Pr -3.813 4.712 3.168
Sm -1.079 6.363 1.972
Sm -5.313 9.291 -0.998
Pr -9.790 8.273 0.303
Pr -1.033 2.590 2.264
Pr -7.217 5.074 3.082
Tl 0.000 0.000 0.000
Pr -6.092 3.059 0.552
```

Entry 8:
Computed, not measured: an optimized crystal structure of Ca2TlAuO5 at the PBE level of DFT.

Calculated values
Its formation energy (no corrections) is -1.5011 eV per atom.

```
18
Lattice="3.630 -0.199 0.000 -2.162 6.578 0.000 0.001 0.001 11.896" Properties=species:S:1:pos:R:3 pbc="T T T"
O 1.083 3.372 2.194
O -0.560 6.389 9.300
O 1.714 1.195 6.133
Ca 1.649 5.600 2.009
O 2.028 -0.010 3.353
Ca -1.291 4.227 8.946
Ca -0.181 0.780 7.958
O 2.283 2.395 10.644
O 0.386 3.007 8.142
O 3.138 1.017 0.957
Au -0.743 5.991 5.205
Ca 2.759 2.153 2.998
Tl 0.923 3.309 6.047
O -0.814 3.985 4.696
O -1.670 5.362 6.905
Tl 0.545 3.070 0.099
Au 2.212 0.389 11.153
O -0.246 5.184 0.185
```

Entry 9:
Computed, not measured: an optimized crystal structure of Ac2TbSb2Se2 at the PBE level of DFT.

Calculated values
Its formation energy (no corrections) is -1.0865 eV per atom.

```
7
Lattice="-1.986 -3.759 -3.918 5.400 -0.934 -1.841 -0.948 -3.431 8.038" Properties=species:S:1:pos:R:3 pbc="T T T"
Ac 0.562 -4.279 3.820
Sb 2.700 -0.467 -0.921
Sb -0.993 -1.879 -1.959
Se 0.278 -2.116 1.889
Ac 1.904 -3.845 -1.542
Tb 0.000 0.000 0.000
Se 2.188 -6.008 0.389
```

Entry 10:
Computed, not measured: an optimized crystal structure of PmPuGeAu at the PBE level of DFT.

Calculated values
The formation energy from the elements comes out at -12.794 kcal/mol of atoms.

```
4
Lattice="5.174 0.000 0.000 2.587 4.481 0.000 2.587 1.494 4.225" Properties=species:S:1:pos:R:3 pbc="T T T"
Au 7.761 4.481 3.168
Ge 2.587 1.494 1.056
Pm 5.174 2.987 2.112
Pu 0.000 0.000 0.000
```

Entry 11:
Computed, not measured: an optimized crystal structure of Be2FePt at the PBE level of DFT.

Calculated values
The formation energy from the elements comes out at -9.838 kcal/mol of atoms.

```
4
Lattice="3.912 0.000 0.000 0.000 3.912 0.000 0.000 0.000 2.720" Properties=species:S:1:pos:R:3 pbc="T T T"
Pt 0.000 1.956 1.360
Fe 1.956 0.000 1.360
Be 1.956 1.956 0.000
Be 0.000 0.000 0.000
```

Entry 12:
Computed, not measured: an optimized crystal structure of VPPt2Cl at the PBE level of DFT.

Calculated values
Its formation energy (no corrections) is 0.6186 eV per atom.

```
5
Lattice="4.496 0.000 0.000 0.000 4.859 0.000 0.000 0.000 4.496" Properties=species:S:1:pos:R:3 pbc="T T T"
Pt 2.248 0.000 0.000
V 2.248 2.430 2.248
P 0.000 0.000 0.000
Pt 0.000 0.000 2.248
Cl 0.000 2.430 0.000
```

Entry 13:
Computed, not measured: an optimized crystal structure of Al2BrCl at the PBE level of DFT.

Calculated values
Its formation energy (no corrections) is -0.6410 eV per atom.

```
4
Lattice="4.793 0.000 0.000 0.000 3.589 0.022 0.000 1.641 7.740" Properties=species:S:1:pos:R:3 pbc="T T T"
Br 0.000 2.435 3.215
Al 2.397 0.657 0.399
Cl 2.397 4.103 6.585
Al 0.000 0.652 1.443
```

Entry 14:
Computed, not measured: an optimized crystal structure of Pm6Ho3Er2Th at the PBE level of DFT.

Calculated values
The formation energy from the elements comes out at 0.714 kcal/mol of atoms.

```
12
Lattice="-5.990 1.429 0.876 1.642 -5.865 -1.265 2.615 -0.662 11.579" Properties=species:S:1:pos:R:3 pbc="T T T"
Pm 0.892 -1.590 8.597
Ho 1.676 -4.978 4.882
Pm -0.043 -5.033 8.043
Ho -3.409 -0.120 6.308
Er -3.447 -1.002 0.162
Th 0.000 0.000 0.000
Pm -2.564 -2.624 8.750
Ho -0.866 -2.549 5.595
Pm 0.831 -2.474 2.440
Er -0.901 -3.434 -0.552
Pm -2.624 -3.507 2.593
Pm -1.690 -0.064 3.147
```

Entry 15:
Computed, not measured: an optimized crystal structure of HoHgCl6 at the PBE level of DFT.

Calculated values
Its formation energy (no corrections) is -1.2007 eV per atom.

```
8
Lattice="-2.218 5.880 -2.954 -7.158 2.805 0.214 -1.248 5.575 3.744" Properties=species:S:1:pos:R:3 pbc="T T T"
Cl -7.240 5.235 0.395
Ho -5.312 7.130 0.502
Cl -4.397 6.201 2.824
Cl -6.226 8.059 -1.821
Cl -3.477 5.598 -0.444
Hg 0.000 0.000 0.000
Cl -3.384 9.025 0.609
Cl -7.147 8.662 1.448
```

Entry 16:
Computed, not measured: an optimized crystal structure of CaCo2Cl at the PBE level of DFT.

Calculated values
Its formation energy (no corrections) is -0.0059 eV per atom.

```
4
Lattice="-0.591 0.163 -3.463 1.552 -3.360 -0.424 -5.183 -2.491 0.768" Properties=species:S:1:pos:R:3 pbc="T T T"
Ca -2.887 -1.164 -1.348
Cl -1.815 -2.926 0.172
Co 0.481 -1.598 -1.943
Co 0.000 0.000 0.000
```

Entry 17:
Computed, not measured: an optimized crystal structure of Bi2AsPd at the PBE level of DFT.

Calculated values
The formation energy from the elements comes out at 8.914 kcal/mol of atoms.

```
4
Lattice="-1.921 2.439 1.106 -2.773 -0.701 1.638 3.883 0.671 10.177" Properties=species:S:1:pos:R:3 pbc="T T T"
Pd 0.000 0.000 0.000
Bi -3.315 1.761 5.088
Bi 2.504 0.648 7.832
As -0.406 1.205 6.460
```

Entry 18:
Computed, not measured: an optimized crystal structure of AgAu2Se at the PBE level of DFT.

Calculated values
Its formation energy (no corrections) is 0.1328 eV per atom.

```
4
Lattice="3.643 0.000 0.000 0.000 3.643 0.000 0.000 0.000 5.747" Properties=species:S:1:pos:R:3 pbc="T T T"
Ag 1.821 1.821 4.266
Au 0.000 0.000 0.041
Au 1.821 1.821 1.356
Se 0.000 0.000 2.957
```

Entry 19:
Computed, not measured: an optimized crystal structure of PrGdPu4 at the PBE level of DFT.

Calculated values
The formation energy from the elements comes out at 5.472 kcal/mol of atoms.

```
6
Lattice="6.208 0.000 0.000 3.104 5.377 0.000 3.104 1.792 5.069" Properties=species:S:1:pos:R:3 pbc="T T T"
Gd 0.000 0.000 0.000
Pu 6.208 1.792 3.168
Pr 3.104 1.792 1.267
Pu 7.761 4.481 3.168
Pu 4.656 4.481 3.168
Pu 6.208 3.584 0.633
```

Entry 20:
Computed, not measured: an optimized crystal structure of TbPr3Ho12 at the PBE level of DFT.

Calculated values
The formation energy from the elements comes out at 0.535 kcal/mol of atoms.

```
16
Lattice="5.036 0.000 0.000 0.000 5.036 0.000 0.000 0.000 20.157" Properties=species:S:1:pos:R:3 pbc="T T T"
Ho 0.000 2.518 17.676
Ho 2.518 0.000 12.610
Ho 2.518 2.518 10.078
Ho 2.518 0.000 2.481
Pr 0.000 0.000 15.133
Ho 2.518 2.518 5.008
Pr 0.000 0.000 10.078
Ho 2.518 0.000 7.546
Ho 2.518 2.518 0.000
Ho 2.518 2.518 15.149
Ho 0.000 2.518 7.546
Tb 0.000 0.000 0.000
Pr 0.000 0.000 5.024
Ho 0.000 2.518 12.610
Ho 0.000 2.518 2.481
Ho 2.518 0.000 17.676
```

What did we get for calculated density? Answer: 8.1 7.4 6.1 9.9 9.0 14.1 6.9 6.7 6.5 11.2 10.7 8.6 2.1 8.2 4.0 4.2 9.8 12.6 12.5 8.3 g cm⁻³, in the order shown.
What did we get for total energy? Answer: -25.837 -53.911 -28.257 -11.132 -22.343 -56.748 -86.731 -95.896 -35.666 -29.196 -23.662 -25.364 -13.568 -58.411 -25.565 -18.084 -16.058 -12.359 -74.764 -73.531 eV per cell, in the order shown.